[1]
KCd3H8Cl7O4 at its PBEsol-relaxed geometry, computed with meta-GGA SCAN.

The structure in POSCAR format:
```
KCd3H8Cl7O4
1.0
-4.813 3.824 2.504
2.796 -1.127 6.303
9.181 12.733 -1.796
H Cd O Cl K
16 6 8 14 2
direct
0.722 0.532 0.924
0.404 0.212 0.250
0.608 0.543 0.667
0.624 0.314 0.250
0.095 0.787 0.799
0.095 0.787 0.701
0.596 0.788 0.750
0.392 0.457 0.333
0.278 0.468 0.076
0.722 0.532 0.576
0.905 0.213 0.201
0.905 0.213 0.299
0.608 0.543 0.833
0.392 0.457 0.167
0.376 0.686 0.750
0.278 0.468 0.424
0.491 0.827 0.096
0.000 0.000 0.000
0.000 0.000 0.500
0.509 0.173 0.596
0.491 0.827 0.404
0.509 0.173 0.904
0.682 0.456 0.628
0.526 0.661 0.750
0.134 0.710 0.750
0.474 0.339 0.250
0.682 0.456 0.872
0.318 0.544 0.372
0.866 0.290 0.250
0.318 0.544 0.128
0.327 0.835 0.943
0.327 0.835 0.557
0.827 0.980 0.644
0.814 0.673 0.457
0.814 0.673 0.043
0.186 0.327 0.543
0.673 0.165 0.057
0.173 0.020 0.144
0.173 0.020 0.356
0.827 0.980 0.856
0.186 0.327 0.957
0.377 0.152 0.750
0.673 0.165 0.443
0.623 0.848 0.250
0.030 0.654 0.250
0.970 0.346 0.750
```

- Size of the total moment: 0.000 μB per atom
- E_tot: -10.29 eV per atom
- ρ: 3.16 g/cm³

***

[2]
MgCd2HCl at its PBEsol-relaxed geometry, computed with meta-GGA SCAN.

The structure in POSCAR format:
```
MgCd2HCl
1.0
-0.176 3.692 -0.321
-4.935 -0.100 1.552
1.536 0.500 4.915
Mg Cd Cl H
1 2 1 1
direct
0.500 0.000 0.000
0.000 0.000 0.500
0.000 0.500 0.000
0.500 0.500 0.500
0.000 0.000 0.000
```

- Size of the total moment: 0.000 μB per atom
- E_tot: -15.40 eV per atom
- ρ: 4.78 g/cm³

***

Question: Among the records above, which one has the highest E_tot?
Answer: KCd3H8Cl7O4

***

Question: Look up the E_tot of the first one.
Answer: -10.29 eV per atom

***

Question: Among the records above, which one has the highest ρ?
Answer: MgCd2HCl